Record 1
This record from Alexandria describes a relaxed structure of AsWBr2. The functional is PBE. Values from VASP.

Structure (Quantum ESPRESSO input):
```
&SYSTEM
  ibrav = 0, nat = 12, ntyp = 3
/
ATOMIC_SPECIES
As 74.92 As.upf
W 183.84 W.upf
Br 79.90 Br.upf
CELL_PARAMETERS angstrom
3.4003 0.0000 0.0000
-1.7002 2.9448 0.0000
0.0000 0.0000 26.5461
ATOMIC_POSITIONS crystal
As 0.0000 0.0000 0.0000
As 0.3333 0.6667 0.6667
As 0.6667 0.3333 0.3333
W 0.0000 0.0000 0.2715
W 0.3333 0.6667 0.9381
W 0.6667 0.3333 0.6048
Br 0.0000 0.0000 0.5359
Br 0.0000 0.0000 0.7496
Br 0.3333 0.6667 0.2025
Br 0.3333 0.6667 0.4163
Br 0.6667 0.3333 0.0830
Br 0.6667 0.3333 0.8692
```

Summary:
N(E_F) = 17.7 states/eV/cell
Space-group type = R3m, No. 160
Energy above the lowest structure with this stoichiometry = 0.234 eV/atom
Energy = -5.030 eV/atom
Density = 7.845 Mg/m³
Energy relative to the elements, uncorrected = 207 meV/atom

Record 2
This record from Alexandria describes a relaxed structure of BiSbH. The functional is PBE. Values from VASP.

Structure (Quantum ESPRESSO input):
```
&SYSTEM
  ibrav = 0, nat = 12, ntyp = 3
/
ATOMIC_SPECIES
Bi 208.98 Bi.upf
Sb 121.76 Sb.upf
H 1.01 H.upf
CELL_PARAMETERS angstrom
8.1931 0.0000 0.0000
0.0000 6.3975 0.0000
-2.6334 0.0000 7.0639
ATOMIC_POSITIONS crystal
Bi 0.1067 0.0000 0.3717
Bi 0.3933 0.5000 0.6283
Bi 0.6067 0.5000 0.3717
Bi 0.8933 0.0000 0.6283
Sb 0.0635 0.5000 0.2926
Sb 0.4365 0.0000 0.7074
Sb 0.5635 0.0000 0.2926
Sb 0.9365 0.5000 0.7074
H 0.1790 0.5000 0.1361
H 0.3210 0.0000 0.8639
H 0.6790 0.0000 0.1361
H 0.8210 0.5000 0.8639
```

Summary:
N(E_F) = 5.3 states/eV/cell
Space-group type = C2/m, No. 12
Energy above the lowest structure with this stoichiometry = 0.010 eV/atom
Energy = -3.569 eV/atom
Density = 5.951 Mg/m³

Record 3
This record from Alexandria describes a relaxed structure of NbGe2IrRh. The functional is PBE. Values from VASP.

Structure (Quantum ESPRESSO input):
```
&SYSTEM
  ibrav = 0, nat = 5, ntyp = 4
/
ATOMIC_SPECIES
Nb 92.91 Nb.upf
Ge 72.64 Ge.upf
Ir 192.22 Ir.upf
Rh 102.91 Rh.upf
CELL_PARAMETERS angstrom
4.8979 0.0000 0.0000
0.0000 4.8979 0.0000
0.0000 0.0000 4.7339
ATOMIC_POSITIONS crystal
Nb 0.0000 0.0000 0.0000
Ge 0.0000 0.5000 0.0000
Ge 0.5000 0.0000 0.0000
Ir 0.0000 0.0000 0.5000
Rh 0.5000 0.5000 0.5000
```

Summary:
N(E_F) = 5.4 states/eV/cell
Calculated formation energy = 1.23 eV per atom
Space-group type = P4/mmm, No. 123
Energy = -5.870 eV/atom
Density = 7.798 Mg/m³

Record 4
This record from Alexandria describes a relaxed structure of Y2ScRe. The functional is PBE. Values from VASP.

Structure (Quantum ESPRESSO input):
```
&SYSTEM
  ibrav = 0, nat = 8, ntyp = 3
/
ATOMIC_SPECIES
Y 88.91 Y.upf
Sc 44.96 Sc.upf
Re 186.21 Re.upf
CELL_PARAMETERS angstrom
4.8864 0.0000 0.0000
0.0000 4.8937 0.0000
0.0000 0.0000 8.3607
ATOMIC_POSITIONS crystal
Y 0.0000 0.0000 0.1996
Y 0.0000 0.0000 0.8004
Y 0.5000 0.5000 0.1996
Y 0.5000 0.5000 0.8004
Sc 0.0000 0.5000 0.5000
Sc 0.5000 0.0000 0.5000
Re 0.0000 0.5000 0.0000
Re 0.5000 0.0000 0.0000
```

Summary:
N(E_F) = 13.0 states/eV/cell
Calculated formation energy = 0.22 eV per atom
Space-group type = Cmmm, No. 65
Energy above the lowest structure with this stoichiometry = 0.113 eV/atom
Energy = -7.710 eV/atom
Density = 6.794 Mg/m³

- The highest density belongs to which entry?
  AsWBr2

- What is the energy in the fourth record?
  -7.710 eV/atom

- Which formula does entry 2 have?
  BiSbH

- Which value of density does entry 4 give?
  6.794 Mg/m³